(1)
! Nd3Si (PBE, relaxed); values from VASP
! * D(E_F): 1.3654 states/eV per atom
! * energy above the most stable polymorph in this dataset: 0 meV per atom
! * VASP energy: -169.58 eV per cell
! * E_form (uncorrected): -368 meV/atom
&SYSTEM
  ibrav = 0, nat = 32, ntyp = 2
/
ATOMIC_SPECIES
Nd 144.24 Nd.upf
Si 28.09 Si.upf
ATOMIC_POSITIONS crystal
Nd 0.029 0.574 0.241
Nd 0.074 0.971 0.741
Nd 0.114 0.217 0.016
Nd 0.135 0.668 0.731
Nd 0.168 0.865 0.231
Nd 0.217 0.386 0.484
Nd 0.283 0.114 0.484
Nd 0.332 0.635 0.231
Nd 0.365 0.832 0.731
Nd 0.386 0.283 0.016
Nd 0.426 0.529 0.741
Nd 0.471 0.926 0.241
Nd 0.529 0.074 0.759
Nd 0.574 0.471 0.259
Nd 0.614 0.717 0.984
Nd 0.635 0.168 0.269
Nd 0.668 0.365 0.769
Nd 0.717 0.886 0.516
Nd 0.783 0.614 0.516
Nd 0.832 0.135 0.769
Nd 0.865 0.332 0.269
Nd 0.886 0.783 0.984
Nd 0.926 0.029 0.259
Nd 0.971 0.426 0.759
Si 0.047 0.206 0.526
Si 0.206 0.453 0.974
Si 0.294 0.047 0.974
Si 0.453 0.294 0.526
Si 0.547 0.706 0.474
Si 0.706 0.953 0.026
Si 0.794 0.547 0.026
Si 0.953 0.794 0.474
CELL_PARAMETERS angstrom
12.386 0.000 0.000
0.000 12.386 0.000
0.000 0.000 6.131

(2)
! NdSi4 (PBE, relaxed); values from VASP
! * D(E_F): 0.8982 states/eV per atom
! * VASP energy: -18.51 eV per cell
! * E_form (uncorrected): 1590 meV/atom
&SYSTEM
  ibrav = 0, nat = 5, ntyp = 2
/
ATOMIC_SPECIES
Nd 144.24 Nd.upf
Si 28.09 Si.upf
ATOMIC_POSITIONS crystal
Nd 0.000 0.000 0.000
Si 0.000 0.000 0.500
Si 0.000 0.500 0.000
Si 0.500 0.000 0.000
Si 0.500 0.500 0.500
CELL_PARAMETERS angstrom
5.355 0.000 0.000
0.000 5.355 0.000
0.000 0.000 5.355

(3)
! Nd3Si2 (PBE, relaxed); values from VASP
! * D(E_F): 0.8876 states/eV per atom
! * VASP energy: -28.11 eV per cell
! * E_form (uncorrected): -593 meV/atom
&SYSTEM
  ibrav = 0, nat = 5, ntyp = 2
/
ATOMIC_SPECIES
Nd 144.24 Nd.upf
Si 28.09 Si.upf
ATOMIC_POSITIONS crystal
Nd 0.000 0.000 0.000
Nd 0.297 0.797 0.500
Nd 0.703 0.203 0.500
Si 0.311 0.500 0.811
Si 0.689 0.500 0.189
CELL_PARAMETERS angstrom
-2.226 3.246 4.556
2.226 -3.246 4.556
2.226 3.246 -4.556